Below is a relaxed K2GaRe crystal, with properties calculated at the PBE level.

Unit cell a=3.874 b=3.874 c=12.197 alpha=80.86 beta=80.86 gamma=90.00
Atoms (fractional coordinates):
1 Ga 0.250 0.750 0.500
2 Ga 0.500 0.500 0.000
3 K 0.875 0.874 0.750
4 K 0.126 0.625 0.250
5 K 0.375 0.376 0.750
6 K 0.624 0.125 0.250
7 Re 0.000 0.000 0.000
8 Re 0.750 0.250 0.500

* total DFT energy (no corrections): -3.19 eV per atom
* symmetry: I-42d (122)
* calculated volume: 178.4 Å³ per cell
* theoretical density: 6.22 g/cm3
* DFT formation energy: 1.22 eV/atom
* Fermi-level density of states: 2.770 states/eV per cell